The following is a PBE calculation of an optimized crystal structure of Ta2Be6Ni21, from the Alexandria database.

Results
DOS at the Fermi energy   24.9 states/eV/cell
ΔH_f (0 K)   -0.2182 eV/atom
Space-group type   Fm-3m

a b c (Å): 7.5760 7.5760 7.5760
angles (deg): 60.00 60.00 60.00
Fractional coordinates of all 29 atoms:
Be: 0.2709 0.2709 0.7291
Ta: 0.7500 0.7500 0.7500
Ni: 0.6573 0.0000 0.3427
Ni: 0.6191 0.6191 0.1427
Ni: 0.0000 0.0000 0.0000
Ni: 0.8573 0.3809 0.3809
Ta: 0.2500 0.2500 0.2500
Be: 0.2709 0.7291 0.2709
Ni: 0.3809 0.8573 0.3809
Ni: 0.0000 0.3427 0.6573
Be: 0.2709 0.7291 0.7291
Ni: 0.3809 0.3809 0.3809
Ni: 0.3809 0.3809 0.8573
Ni: 0.6573 0.0000 0.0000
Be: 0.7291 0.2709 0.2709
Ni: 0.0000 0.6573 0.3427
Ni: 0.3427 0.0000 0.6573
Be: 0.7291 0.2709 0.7291
Ni: 0.3427 0.6573 0.0000
Ni: 0.0000 0.3427 0.0000
Ni: 0.0000 0.0000 0.6573
Ni: 0.0000 0.6573 0.0000
Ni: 0.6573 0.3427 0.0000
Ni: 0.0000 0.0000 0.3427
Be: 0.7291 0.7291 0.2709
Ni: 0.3427 0.0000 0.0000
Ni: 0.6191 0.6191 0.6191
Ni: 0.1427 0.6191 0.6191
Ni: 0.6191 0.1427 0.6191